# 1
# Cs3Zn4Au4

Cs3Zn4Au4 after structural relaxation (PBE, the Alexandria database).

The structure in CIF format:
```
data_Cs3Zn4Au4
_cell_length_a 4.7582
_cell_length_b 5.0745
_cell_length_c 26.9720
_cell_angle_alpha 90.00
_cell_angle_beta 90.00
_cell_angle_gamma 90.00
_symmetry_space_group_name_H-M 'I m m m'
_symmetry_Int_Tables_number 71
_symmetry_space_group_name_Hall '-I 2 2'
loop_
_atom_site_label
_atom_site_type_symbol
_atom_site_fract_x
_atom_site_fract_y
_atom_site_fract_z
_atom_site_occupancy
Cs1 Cs 0.0000 0.0000 0.0000 1
Cs2 Cs 0.0000 0.5000 0.3511 1
Zn1 Zn 0.0000 0.0000 0.2501 1
Zn2 Zn 0.0000 0.5000 0.1044 1
Au1 Au 0.0000 0.0000 0.4456 1
Au2 Au 0.0000 0.5000 0.2057 1
```

Output
For the total energy, the calculation gives -45.48 eV/cell. The magnetization is 0.00 μB/f.u. For the mass density, the calculation gives 7.4 Mg/m³.


# 2
# CsZn2Au2

CsZn2Au2 after structural relaxation (PBE, the Alexandria database).

The structure in CIF format:
```
data_CsZn2Au2
_cell_length_a 4.8107
_cell_length_b 4.8107
_cell_length_c 11.0360
_cell_angle_alpha 90.00
_cell_angle_beta 90.00
_cell_angle_gamma 90.00
_symmetry_space_group_name_H-M 'I 4/m m m'
_symmetry_Int_Tables_number 139
_symmetry_space_group_name_Hall '-I 4 2'
loop_
_atom_site_label
_atom_site_type_symbol
_atom_site_fract_x
_atom_site_fract_y
_atom_site_fract_z
_atom_site_occupancy
Cs1 Cs 0.0000 0.0000 0.0000 1
Zn1 Zn 0.0000 0.5000 0.2500 1
Au1 Au 0.0000 0.0000 0.3620 1
```

Output
The value obtained for the energy above the most stable polymorph in this dataset is 0.037 eV per atom. The magnetization is 0.00 μB/f.u. For the mass density, the calculation gives 8.6 Mg/m³.